Entry 1:
# AlCdCu PBE optimized geometry
data_AlCdCu
_cell_length_a 6.0621
_cell_length_b 6.0621
_cell_length_c 6.0621
_cell_angle_alpha 90.00
_cell_angle_beta 90.00
_cell_angle_gamma 90.00
_symmetry_space_group_name_H-M 'F -4 3 m'
_symmetry_Int_Tables_number 216
_symmetry_space_group_name_Hall 'F -4 2 3'
loop_
_atom_site_label
_atom_site_type_symbol
_atom_site_fract_x
_atom_site_fract_y
_atom_site_fract_z
Al1 Al 0.0000 0.0000 0.0000
Cd1 Cd 0.0000 0.0000 0.5000
Cu1 Cu 0.2500 0.2500 0.7500
# V: 222.78 Å³/cell
# DFT formation energy: 0.064 eV per atom

Entry 2:
# AlCdCu2 PBE optimized geometry
data_AlCdCu2
_cell_length_a 3.8441
_cell_length_b 3.8441
_cell_length_c 8.1044
_cell_angle_alpha 90.00
_cell_angle_beta 90.00
_cell_angle_gamma 90.00
_symmetry_space_group_name_H-M 'I -4 m 2'
_symmetry_Int_Tables_number 119
_symmetry_space_group_name_Hall 'I -4 -2'
loop_
_atom_site_label
_atom_site_type_symbol
_atom_site_fract_x
_atom_site_fract_y
_atom_site_fract_z
Al1 Al 0.0000 0.0000 0.0000
Cd1 Cd 0.0000 0.5000 0.7500
Cu1 Cu 0.0000 0.0000 0.5000
Cu2 Cu 0.0000 0.5000 0.2500
# V: 119.76 Å³/cell
# DFT formation energy: 0.028 eV per atom

> Among the records above, which one has the highest DFT formation energy?

AlCdCu

> Among the records above, which one has the lowest V?

AlCdCu2